[1]
Entry from the Alexandria database: a relaxed structure of InGa2TeIr (PBE).

Unit cell a=4.835 b=4.835 c=5.334 alpha=90.00 beta=90.00 gamma=90.00
Fractional positions:
Ir1 0.000 0.000 0.000
Te1 0.500 0.500 0.500
Ga1 0.000 0.500 0.000
Ga2 0.500 0.000 0.000
In1 0.000 0.000 0.500

Summary:
formation energy (no corrections): -0.176 eV per atom

[2]
Entry from the Alexandria database: a relaxed structure of ThInGa2Ir5 (PBE).

Unit cell a=4.189 b=4.189 c=9.270 alpha=90.00 beta=90.00 gamma=90.00
Fractional positions:
Th1 0.000 0.000 0.500
In1 0.000 0.000 0.000
Ga1 0.500 0.500 0.130
Ga2 0.500 0.500 0.870
Ir1 0.000 0.500 0.277
Ir2 0.500 0.000 0.277
Ir3 0.000 0.500 0.723
Ir4 0.500 0.000 0.723
Ir5 0.500 0.500 0.500

Summary:
calculated formation energy: -0.218 eV/atom

[3]
Entry from the Alexandria database: a relaxed structure of TlInGa2Ir (PBE).

Unit cell a=4.847 b=4.847 c=5.280 alpha=90.00 beta=90.00 gamma=90.00
Fractional positions:
Tl1 0.500 0.500 0.500
Ir1 0.000 0.000 0.000
Ga1 0.000 0.500 0.000
Ga2 0.500 0.000 0.000
In1 0.000 0.000 0.500

Summary:
calculated formation energy: -0.141 eV/atom

[4]
Entry from the Alexandria database: a relaxed structure of Y2InGa2Ir5 (PBE).

Unit cell a=3.667 b=9.800 c=9.800 alpha=90.00 beta=90.00 gamma=90.00
Fractional positions:
Y1 0.000 0.675 0.175
Y2 0.000 0.325 0.825
Y3 0.000 0.175 0.325
Y4 0.000 0.825 0.675
In1 0.000 0.000 0.000
In2 0.000 0.500 0.500
Ga1 0.000 0.123 0.623
Ga2 0.000 0.877 0.377
Ga3 0.000 0.623 0.877
Ga4 0.000 0.377 0.123
Ir1 0.500 0.210 0.066
Ir2 0.500 0.790 0.934
Ir3 0.500 0.066 0.790
Ir4 0.500 0.710 0.434
Ir5 0.500 0.934 0.210
Ir6 0.500 0.290 0.566
Ir7 0.500 0.566 0.710
Ir8 0.500 0.434 0.290
Ir9 0.500 0.500 0.000
Ir10 0.500 0.000 0.500

Summary:
calculated formation energy: -0.591 eV/atom

[5]
Entry from the Alexandria database: a relaxed structure of ZrInGaIr2 (PBE).

Unit cell a=4.879 b=4.720 c=4.879 alpha=90.00 beta=90.00 gamma=90.00
Each line ends with the local moment (μB).
Fractional positions:
Ir1 0.000 0.000 0.500  0.28
Ir2 0.500 0.000 0.000  0.31
Ga1 0.000 0.500 0.000  0.01
Zr1 0.500 0.500 0.500  0.04
In1 0.000 0.000 0.000  -0.01

Summary:
calculated formation energy: 1.155 eV/atom

[6]
Entry from the Alexandria database: a relaxed structure of K2In3Ga (PBE).

Unit cell a=5.015 b=6.561 c=6.657 alpha=81.22 beta=67.87 gamma=67.53
Fractional positions:
K1 0.573 0.172 0.682
K2 0.424 0.828 0.323
In1 0.857 0.579 0.707
In2 0.826 0.253 0.096
In3 0.163 0.751 0.923
Ga1 0.157 0.417 0.269

Summary:
calculated formation energy: -0.134 eV/atom

[7]
Entry from the Alexandria database: a relaxed structure of KIn8Ga2 (PBE).

Unit cell a=6.219 b=6.219 c=10.126 alpha=90.00 beta=90.00 gamma=90.00
Fractional positions:
K1 0.500 0.500 0.500
In1 0.752 0.752 0.193
In2 0.752 0.248 0.807
In3 0.752 0.752 0.807
In4 0.752 0.248 0.193
In5 0.248 0.752 0.193
In6 0.248 0.752 0.807
In7 0.248 0.248 0.193
In8 0.248 0.248 0.807
Ga1 0.500 0.000 0.000
Ga2 0.000 0.500 0.000

Summary:
calculated formation energy: 0.111 eV/atom

[8]
Entry from the Alexandria database: a relaxed structure of K2In2Ga (PBE).

Unit cell a=7.506 b=7.506 c=6.031 alpha=90.00 beta=90.00 gamma=90.00
Fractional positions:
K1 0.179 0.679 0.500
K2 0.679 0.821 0.500
K3 0.821 0.321 0.500
K4 0.321 0.179 0.500
Ga1 0.000 0.000 0.000
Ga2 0.500 0.500 0.000
In1 0.360 0.860 0.000
In2 0.860 0.640 0.000
In3 0.640 0.140 0.000
In4 0.140 0.360 0.000

Summary:
calculated formation energy: -0.019 eV/atom

[9]
Entry from the Alexandria database: a relaxed structure of K2InGa7 (PBE).

Unit cell a=4.580 b=4.580 c=11.289 alpha=90.00 beta=90.00 gamma=90.00
Fractional positions:
K1 0.500 0.000 0.743
K2 0.000 0.500 0.257
In1 0.500 0.500 0.000
Ga1 0.000 0.500 0.857
Ga2 0.500 0.000 0.372
Ga3 0.500 0.000 0.143
Ga4 0.000 0.500 0.628
Ga5 0.000 0.000 0.500
Ga6 0.000 0.000 0.000
Ga7 0.500 0.500 0.500

Summary:
calculated formation energy: -0.146 eV/atom

[10]
Entry from the Alexandria database: a relaxed structure of KIn3Ga (PBE).

Unit cell a=4.840 b=4.840 c=6.338 alpha=90.00 beta=90.00 gamma=90.00
Fractional positions:
K1 0.500 0.500 0.858
In1 0.000 0.000 0.642
In2 0.500 0.000 0.339
In3 0.000 0.500 0.339
Ga1 0.000 0.000 0.085

Summary:
calculated formation energy: -0.077 eV/atom

[11]
Entry from the Alexandria database: a relaxed structure of K2In5Ga3 (PBE).

Unit cell a=4.793 b=4.793 c=12.207 alpha=90.00 beta=90.00 gamma=90.00
Fractional positions:
K1 0.500 0.000 0.265
K2 0.000 0.500 0.735
In1 0.500 0.500 0.000
In2 0.000 0.000 0.000
In3 0.500 0.000 0.846
In4 0.000 0.500 0.154
In5 0.500 0.500 0.500
Ga1 0.500 0.000 0.621
Ga2 0.000 0.500 0.379
Ga3 0.000 0.000 0.500

Summary:
calculated formation energy: -0.122 eV/atom

[12]
Entry from the Alexandria database: a relaxed structure of K3In3Ga2 (PBE).

Unit cell a=5.686 b=6.301 c=16.075 alpha=90.00 beta=90.00 gamma=116.82
Fractional positions:
K1 0.669 0.338 0.036
K2 0.331 0.662 0.536
K3 0.669 0.338 0.464
K4 0.331 0.662 0.964
K5 0.505 0.009 0.250
K6 0.495 0.991 0.750
In1 0.988 0.977 0.096
In2 0.012 0.023 0.596
In3 0.988 0.977 0.404
In4 0.012 0.023 0.904
In5 0.815 0.631 0.250
In6 0.185 0.369 0.750
Ga1 0.779 0.558 0.669
Ga2 0.221 0.442 0.169
Ga3 0.779 0.558 0.831
Ga4 0.221 0.442 0.331

Summary:
calculated formation energy: -0.021 eV/atom

[13]
Entry from the Alexandria database: a relaxed structure of KIn4Ga2 (PBE).

Unit cell a=4.943 b=4.819 c=8.388 alpha=106.69 beta=90.00 gamma=90.00
Fractional positions:
K1 0.000 0.000 0.000
In1 0.500 0.820 0.639
In2 0.000 0.682 0.364
In3 0.500 0.180 0.361
In4 0.000 0.318 0.636
Ga1 0.500 0.583 0.165
Ga2 0.500 0.417 0.835

Summary:
calculated formation energy: -0.069 eV/atom

[14]
Entry from the Alexandria database: a relaxed structure of KIn3Ga (PBE).

Unit cell a=6.071 b=6.071 c=6.071 alpha=90.00 beta=90.00 gamma=90.00
Fractional positions:
K1 0.000 0.000 0.000
Ga1 0.500 0.500 0.500
In1 0.000 0.500 0.000
In2 0.000 0.000 0.500
In3 0.500 0.000 0.000

Summary:
calculated formation energy: 0.909 eV/atom

[15]
Entry from the Alexandria database: a relaxed structure of K4In5Ga (PBE).

Unit cell a=6.890 b=8.269 c=8.269 alpha=80.00 beta=65.38 gamma=65.38
Fractional positions:
K1 0.856 0.621 0.767
K2 0.623 0.233 0.621
K3 0.477 0.767 0.379
K4 0.244 0.379 0.233
In1 0.238 0.741 0.868
In2 0.106 0.132 0.741
In3 0.979 0.868 0.259
In4 0.847 0.259 0.132
In5 0.358 0.000 0.000
Ga1 0.761 0.000 0.000

Summary:
calculated formation energy: -0.085 eV/atom

[16]
Entry from the Alexandria database: a relaxed structure of K2In17Ga3 (PBE).

Unit cell a=8.766 b=8.766 c=8.766 alpha=82.96 beta=82.96 gamma=82.96
Fractional positions:
K1 0.353 0.353 0.353
K2 0.647 0.647 0.647
In1 0.500 0.000 0.000
In2 0.000 0.000 0.500
In3 0.000 0.500 0.000
In4 0.000 0.737 0.263
In5 0.737 0.263 0.000
In6 0.263 0.000 0.737
In7 0.263 0.737 0.000
In8 0.737 0.000 0.263
In9 0.000 0.263 0.737
In10 0.169 0.664 0.664
In11 0.664 0.664 0.169
In12 0.664 0.169 0.664
In13 0.831 0.336 0.336
In14 0.336 0.336 0.831
In15 0.336 0.831 0.336
In16 0.109 0.109 0.109
In17 0.891 0.891 0.891
Ga1 0.000 0.500 0.500
Ga2 0.500 0.500 0.000
Ga3 0.500 0.000 0.500

Summary:
calculated formation energy: 0.047 eV/atom

[17]
Entry from the Alexandria database: a relaxed structure of KIn5Ga3 (PBE).

Unit cell a=4.623 b=8.175 c=14.274 alpha=90.00 beta=90.00 gamma=106.42
Fractional positions:
K1 0.838 0.677 0.750
K2 0.162 0.323 0.250
In1 0.803 0.606 0.429
In2 0.197 0.394 0.929
In3 0.000 0.000 0.500
In4 0.000 0.000 0.000
In5 0.462 0.925 0.146
In6 0.538 0.075 0.854
In7 0.538 0.075 0.646
In8 0.803 0.606 0.071
In9 0.197 0.394 0.571
In10 0.462 0.925 0.354
Ga1 0.376 0.751 0.957
Ga2 0.884 0.768 0.250
Ga3 0.376 0.751 0.543
Ga4 0.624 0.249 0.457
Ga5 0.116 0.232 0.750
Ga6 0.624 0.249 0.043

Summary:
calculated formation energy: -0.005 eV/atom

[18]
Entry from the Alexandria database: a relaxed structure of K2In12Ga (PBE).

Unit cell a=7.017 b=7.017 c=18.154 alpha=90.00 beta=90.00 gamma=90.00
Fractional positions:
K1 0.500 0.000 0.250
K2 0.000 0.500 0.250
K3 0.000 0.500 0.750
K4 0.500 0.000 0.750
In1 0.500 0.500 0.817
In2 0.000 0.000 0.817
In3 0.750 0.750 0.912
In4 0.250 0.750 0.912
In5 0.000 0.000 0.346
In6 0.250 0.750 0.088
In7 0.836 0.336 0.567
In8 0.500 0.500 0.346
In9 0.250 0.250 0.912
In10 0.750 0.750 0.088
In11 0.336 0.164 0.567
In12 0.664 0.164 0.433
In13 0.000 0.000 0.654
In14 0.164 0.336 0.433
In15 0.250 0.250 0.088
In16 0.836 0.664 0.433
In17 0.664 0.836 0.567
In18 0.000 0.000 0.183
In19 0.164 0.664 0.567
In20 0.500 0.500 0.654
In21 0.750 0.250 0.912
In22 0.500 0.500 0.183
In23 0.336 0.836 0.433
In24 0.750 0.250 0.088
Ga1 0.500 0.000 0.000
Ga2 0.000 0.500 0.000

Summary:
calculated formation energy: -0.061 eV/atom

[19]
Entry from the Alexandria database: a relaxed structure of KIn2Ga2 (PBE).

Unit cell a=4.748 b=4.748 c=6.955 alpha=70.04 beta=70.04 gamma=90.00
Fractional positions:
K1 0.000 0.000 0.000
Ga1 0.750 0.250 0.500
Ga2 0.250 0.750 0.500
In1 0.380 0.380 0.241
In2 0.620 0.620 0.759

Summary:
calculated formation energy: -0.103 eV/atom

[20]
Entry from the Alexandria database: a relaxed structure of KIn2Ga2 (PBE).

Unit cell a=8.842 b=8.842 c=3.332 alpha=90.00 beta=90.00 gamma=90.00
Fractional positions:
K1 0.000 0.000 0.000
K2 0.500 0.500 0.000
Ga1 0.358 0.858 0.000
Ga2 0.858 0.642 0.000
Ga3 0.642 0.142 0.000
Ga4 0.142 0.358 0.000
In1 0.147 0.647 0.500
In2 0.647 0.853 0.500
In3 0.853 0.353 0.500
In4 0.353 0.147 0.500

Summary:
calculated formation energy: -0.033 eV/atom

no.,energy (eV/atom)
1,-4.335
2,-6.942
3,-4.145
4,-7.193
5,-5.252
6,-2.374
7,-2.531
8,-2.158
9,-2.758
10,-2.544
11,-2.619
12,-2.216
13,-2.655
14,-1.559
15,-2.196
16,-2.582
17,-2.658
18,-2.600
19,-2.629
20,-2.558